# 1
A relaxed structure of TmBi2As2Pd7, computed with PBE.

Values from the calculation:
- SG = C2/m, No. 12
- formation enthalpy at 0 K (eV/f.u.) = -5.9

Cell lengths 4.080, 4.080, 14.279 Å; angles 94.62, 94.62, 89.70 degrees
Fractional coordinates of all 12 atoms:
Tm 0.000 0.000 0.000
Bi 0.127 0.127 0.390
Bi 0.873 0.873 0.610
As 0.428 0.428 0.751
As 0.572 0.572 0.249
Pd 0.042 0.542 0.147
Pd 0.352 0.352 0.573
Pd 0.458 0.958 0.853
Pd 0.500 0.500 0.000
Pd 0.542 0.042 0.147
Pd 0.648 0.648 0.427
Pd 0.958 0.458 0.853

=====

# 2
A relaxed structure of CoSi3Ir, computed with PBE.

Values from the calculation:
- SG = Pm-3m, No. 221
- formation energy from raw total energies (eV/atom) = 0.4591
- relative energy among the computed polymorphs (meV/atom) = 0

Cell lengths 4.240, 4.240, 4.240 Å; angles 90.00, 90.00, 90.00 degrees
Fractional coordinates of all 5 atoms:
Co 0.000 0.000 0.000
Si 0.000 0.000 0.500
Si 0.000 0.500 0.000
Si 0.500 0.000 0.000
Ir 0.500 0.500 0.500

=====

# 3
A relaxed structure of HfTl8S6, computed with PBE.

Values from the calculation:
- SG = Pmn2_1, No. 31
- formation energy from raw total energies (eV/atom) = -0.5089

Cell lengths 7.850, 8.894, 14.563 Å; angles 90.00, 90.00, 90.00 degrees
Fractional coordinates of all 30 atoms:
Hf 0.000 0.053 0.000
Hf 0.500 0.947 0.500
Tl 0.000 0.092 0.545
Tl 0.000 0.688 0.944
Tl 0.225 0.641 0.382
Tl 0.232 0.864 0.720
Tl 0.247 0.570 0.137
Tl 0.253 0.430 0.637
Tl 0.268 0.136 0.220
Tl 0.275 0.359 0.882
Tl 0.500 0.312 0.444
Tl 0.500 0.908 0.045
Tl 0.725 0.359 0.882
Tl 0.732 0.136 0.220
Tl 0.747 0.430 0.637
Tl 0.753 0.570 0.137
Tl 0.768 0.864 0.720
Tl 0.775 0.641 0.382
S 0.000 0.320 0.029
S 0.000 0.401 0.496
S 0.000 0.541 0.773
S 0.000 0.926 0.145
S 0.244 0.996 0.908
S 0.256 0.004 0.408
S 0.500 0.074 0.645
S 0.500 0.459 0.273
S 0.500 0.599 0.996
S 0.500 0.680 0.529
S 0.744 0.004 0.408
S 0.756 0.996 0.908